# Sr2PmSi2 PBE optimized geometry
data_Sr2PmSi2
_space_group_name_H-M_alt 'C 1 2/m 1'
_space_group_IT_number 12
_cell_length_a 12.696
_cell_length_b 4.852
_cell_length_c 11.255
_cell_angle_alpha 90.00
_cell_angle_beta 120.97
_cell_angle_gamma 90.00
loop_
_space_group_symop_operation_xyz
'x,y,z'
'-x,-y,-z'
'-x,y,-z'
'x,-y,z'
'x+1/2,y+1/2,z'
'-x+1/2,-y+1/2,-z'
'-x+1/2,y+1/2,-z'
'x+1/2,-y+1/2,z'
loop_
_atom_site_label
_atom_site_type_symbol
_atom_site_fract_x
_atom_site_fract_y
_atom_site_fract_z
Sr1 Sr 0.021 0.000 0.184
Sr2 Sr 0.182 0.000 0.593
Pm1 Pm 0.207 0.500 0.856
Si1 Si 0.031 0.500 0.412
Si2 Si 0.127 0.500 0.066
# * Fermi-level density of states: 0.380 states/eV/atom
# * formation energy (no corrections): -0.3775 eV/atom